No. 1
The following is a DFT calculation (PBE) of crystalline Ca2Ta2Pb at its relaxed geometry. Values from VASP.

The structure in Quantum ESPRESSO input format:
```
&SYSTEM
  ibrav = 0, nat = 10, ntyp = 3
/
ATOMIC_SPECIES
Ca 40.08 Ca.upf
Ta 180.95 Ta.upf
Pb 207.20 Pb.upf
CELL_PARAMETERS angstrom
7.374 0.000 0.000
0.000 7.374 0.000
0.000 0.000 4.993
ATOMIC_POSITIONS angstrom
Ca 1.227 2.460 0.000
Ca 2.460 6.147 0.000
Ca 4.914 1.227 0.000
Ca 6.147 4.914 0.000
Ta 0.905 4.592 2.496
Ta 2.782 0.905 2.496
Ta 4.592 6.469 2.496
Ta 6.469 2.782 2.496
Pb 0.000 0.000 2.496
Pb 3.687 3.687 2.496
```

Values from the calculation:
Relative energy among the computed polymorphs in meV per atom: 0
Space-group type: P4/mbm, No. 127
E_form in eV/atom: 0.541

***

No. 2
The following is a DFT calculation (PBE) of crystalline Ba2MnZn at its relaxed geometry. Values from VASP.

The structure in Quantum ESPRESSO input format:
```
&SYSTEM
  ibrav = 0, nat = 4, ntyp = 3
/
ATOMIC_SPECIES
Ba 137.33 Ba.upf
Mn 54.94 Mn.upf
Zn 65.41 Zn.upf
CELL_PARAMETERS angstrom
-2.035 2.819 5.856
2.035 -2.819 5.856
2.035 2.819 -5.856
ATOMIC_POSITIONS angstrom
Ba 0.000 0.000 0.000
Ba 0.000 2.819 2.355
Mn 0.000 0.000 4.821
Zn 2.035 0.000 3.190
```

Values from the calculation:
Space-group type: Imm2, No. 44
E_form in eV/atom: 0.244

***

No. 3
The following is a DFT calculation (PBE) of crystalline TbTmCu at its relaxed geometry. Values from VASP.

The structure in Quantum ESPRESSO input format:
```
&SYSTEM
  ibrav = 0, nat = 6, ntyp = 3
/
ATOMIC_SPECIES
Tb 158.93 Tb.upf
Tm 168.93 Tm.upf
Cu 63.55 Cu.upf
CELL_PARAMETERS angstrom
6.246 -1.833 0.000
6.246 1.833 0.000
-4.798 0.000 6.458
ATOMIC_POSITIONS angstrom
Tb 1.636 0.000 0.411
Tb 6.058 0.000 6.048
Tm 2.083 0.000 3.953
Tm 5.612 0.000 2.505
Cu -1.734 0.000 4.342
Cu 9.428 0.000 2.117
```

Values from the calculation:
Relative energy among the computed polymorphs in meV per atom: 21
Space-group type: C2/m, No. 12
E_form in eV/atom: -0.150

***

No. 4
The following is a DFT calculation (PBE) of crystalline Pr5Tl4Ag at its relaxed geometry. Values from VASP.

The structure in Quantum ESPRESSO input format:
```
&SYSTEM
  ibrav = 0, nat = 10, ntyp = 3
/
ATOMIC_SPECIES
Pr 140.91 Pr.upf
Tl 204.38 Tl.upf
Ag 107.87 Ag.upf
CELL_PARAMETERS angstrom
3.750 0.000 0.000
0.000 3.750 0.000
0.000 0.000 21.097
ATOMIC_POSITIONS angstrom
Pr 0.000 0.000 0.000
Pr 0.000 0.000 4.315
Pr 0.000 0.000 8.614
Pr 0.000 0.000 12.484
Pr 0.000 0.000 16.782
Tl 1.875 1.875 2.166
Tl 1.875 1.875 6.509
Tl 1.875 1.875 14.588
Tl 1.875 1.875 18.931
Ag 1.875 1.875 10.549
```

Values from the calculation:
Space-group type: P4/mmm, No. 123
E_form in eV/atom: -0.372

***

Number 1: electronic total energy -57.43 eV/cell, mass density 7.942 g/cm³. Number 2: electronic total energy -13.31 eV/cell, mass density 4.883 g/cm³. Number 3: electronic total energy -27.30 eV/cell, mass density 8.790 g/cm³. Number 4: electronic total energy -39.93 eV/cell, mass density 9.124 g/cm³.